## Tb8TcRu2 (PBE)

Data for a relaxed structure of Tb8TcRu2.

Values from the calculation:
- DOS at the Fermi energy: 0.9306 states/eV/atom
- Raw total energy: -67.8 eV per cell
- Theoretical density: 9.32 g cm⁻³
- Formation enthalpy at 0 K: -0.170 eV/atom
- M_tot: 0.000 μB per atom
- Distance to the lowest polymorph of the same formula: 0.0 meV/atom

Lattice parameters (Å, degrees): 4.8536 6.9348 9.0748 107.18 105.51 90.00
Element x y z (fractional)
Tb (0.4036, 0.5422, 0.8072)
Tb (0.6686, 0.9642, 0.3372)
Tb (0.7983, 0.6869, 0.5967)
Tb (0.9706, 0.2062, 0.9411)
Tb (0.2017, 0.3131, 0.4033)
Tb (0.3314, 0.0358, 0.6628)
Tb (0.5964, 0.4578, 0.1928)
Tb (0.0294, 0.7938, 0.0589)
Tc (0.5000, 0.0000, 0.0000)
Ru (0.8146, 0.3033, 0.6292)
Ru (0.1854, 0.6967, 0.3708)

## YHfZr3 (PBE)

Data for a relaxed structure of YHfZr3.

Values from the calculation:
- DOS at the Fermi energy: 1.7337 states/eV/atom
- Raw total energy: -38.1 eV per cell
- Theoretical density: 6.25 g cm⁻³
- Formation enthalpy at 0 K: 0.789 eV/atom
- M_tot: 0.000 μB per atom
- Distance to the lowest polymorph of the same formula: 0.0 meV/atom

Lattice parameters (Å, degrees): 5.2383 5.2383 5.2383 90.00 90.00 90.00
Element x y z (fractional)
Y (0.5000, 0.5000, 0.5000)
Hf (0.0000, 0.0000, 0.0000)
Zr (0.0000, 0.5000, 0.0000)
Zr (0.0000, 0.0000, 0.5000)
Zr (0.5000, 0.0000, 0.0000)

Look up the raw total energy of the first one.
-67.8 eV per cell

What is the distance to the lowest polymorph of the same formula in the first record?
0.0 meV/atom

Number 2 is which compound?
YHfZr3